# 1
# SiOsSe2N

Crystalline SiOsSe2N at its relaxed geometry (PBE-GGA, Alexandria via LeMat-Bulk).

Calculated values
- SG = P4/mmm, No. 123
- calculated volume (Å³/atom) = 15.7
- formation energy (no corrections) (eV per atom) = 0.84
- distance to the lowest polymorph of the same formula (kJ/mol of formula units) = 122

a = 4.9568 Å, b = 4.9568 Å, c = 3.2006 Å
α = 90.00°, β = 90.00°, γ = 90.00°
With the nearest neighbours (Å) after each atom.
Fractional positions:
Se1 0.0000 0.5000 0.0000  2 Si 2.48
Se2 0.5000 0.0000 0.0000  2 Si 2.48
Si1 0.0000 0.0000 0.0000  2 N 1.60
Os1 0.5000 0.5000 0.5000  8 Se 2.95, 2 Os 3.20
N1 0.0000 0.0000 0.5000  2 Si 1.60

---

# 2
# SiOsSe2N

Crystalline SiOsSe2N at its relaxed geometry (PBE-GGA, Alexandria via LeMat-Bulk).

Calculated values
- SG = P4/mmm, No. 123
- calculated volume (Å³/atom) = 19.1
- formation energy (no corrections) (eV per atom) = 0.59
- distance to the lowest polymorph of the same formula (kJ/mol of formula units) = 0

a = 5.1041 Å, b = 5.1041 Å, c = 3.6721 Å
α = 90.00°, β = 90.00°, γ = 90.00°
With the nearest neighbours (Å) after each atom.
Fractional positions:
Se1 0.0000 0.5000 0.0000  2 Os 2.55
N1 0.0000 0.0000 0.5000  2 Os 1.84
Si1 0.5000 0.5000 0.5000  8 Se 3.14
Se2 0.5000 0.0000 0.0000  2 Os 2.55
Os1 0.0000 0.0000 0.0000  2 N 1.84

---

# 3
# SiOsSeN2

Crystalline SiOsSeN2 at its relaxed geometry (PBE-GGA, Alexandria via LeMat-Bulk).

Calculated values
- SG = P4/mmm, No. 123
- calculated volume (Å³/atom) = 19.6
- formation energy (no corrections) (eV per atom) = 1.10
- distance to the lowest polymorph of the same formula (kJ/mol of formula units) = 152

a = 3.4295 Å, b = 3.4295 Å, c = 8.3326 Å
α = 90.00°, β = 90.00°, γ = 90.00°
With the nearest neighbours (Å) after each atom.
Fractional positions:
Si1 0.0000 0.0000 0.0000  4 N 1.71
N1 0.0000 0.5000 0.0000  2 Si 1.71
N2 0.5000 0.0000 0.0000  2 Si 1.71
Os1 0.5000 0.5000 0.5000  4 Se 2.43
Se1 0.0000 0.0000 0.5000  4 Os 2.43

---

# 4
# SnOsSe2N

Crystalline SnOsSe2N at its relaxed geometry (PBE-GGA, Alexandria via LeMat-Bulk).

Calculated values
- SG = P4/mmm, No. 123
- calculated volume (Å³/atom) = 21.6
- formation energy (no corrections) (eV per atom) = 1.73
- distance to the lowest polymorph of the same formula (kJ/mol of formula units) = 731

a = 5.2806 Å, b = 5.2806 Å, c = 3.8692 Å
α = 90.00°, β = 90.00°, γ = 90.00°
With the nearest neighbours (Å) after each atom.
Fractional positions:
Os1 0.5000 0.5000 0.5000  8 Se 3.27
N1 0.0000 0.0000 0.5000  2 Sn 1.93
Sn1 0.0000 0.0000 0.0000  2 N 1.93
Se1 0.0000 0.5000 0.0000  2 Sn 2.64
Se2 0.5000 0.0000 0.0000  2 Sn 2.64

---

# 5
# SnOsSe2N

Crystalline SnOsSe2N at its relaxed geometry (PBE-GGA, Alexandria via LeMat-Bulk).

Calculated values
- SG = P4/mmm, No. 123
- calculated volume (Å³/atom) = 20.1
- formation energy (no corrections) (eV per atom) = 0.21
- distance to the lowest polymorph of the same formula (kJ/mol of formula units) = 0

a = 5.2059 Å, b = 5.2059 Å, c = 3.7119 Å
α = 90.00°, β = 90.00°, γ = 90.00°
With the nearest neighbours (Å) after each atom.
Fractional positions:
N1 0.0000 0.0000 0.5000  2 Os 1.86
Se1 0.0000 0.5000 0.0000  2 Os 2.60
Se2 0.5000 0.0000 0.0000  2 Os 2.60
Sn1 0.5000 0.5000 0.5000  8 Se 3.20
Os1 0.0000 0.0000 0.0000  2 N 1.86

---

# 6
# SrOsSe2N

Crystalline SrOsSe2N at its relaxed geometry (PBE-GGA, Alexandria via LeMat-Bulk).

Calculated values
- SG = P4/mmm, No. 123
- calculated volume (Å³/atom) = 20.9
- formation energy (no corrections) (eV per atom) = -0.44
- distance to the lowest polymorph of the same formula (kJ/mol of formula units) = 0

a = 5.2766 Å, b = 5.2766 Å, c = 3.7484 Å
α = 90.00°, β = 90.00°, γ = 90.00°
With the nearest neighbours (Å) after each atom.
Fractional positions:
N1 0.0000 0.0000 0.5000  2 Os 1.87
Sr1 0.5000 0.5000 0.5000  8 Se 3.24
Se1 0.5000 0.0000 0.0000  2 Os 2.64
Os1 0.0000 0.0000 0.0000  2 N 1.87
Se2 0.0000 0.5000 0.0000  2 Os 2.64

---

# 7
# SrOsSe2N

Crystalline SrOsSe2N at its relaxed geometry (PBE-GGA, Alexandria via LeMat-Bulk).

Calculated values
- SG = P4/mmm, No. 123
- calculated volume (Å³/atom) = 27.5
- formation energy (no corrections) (eV per atom) = 2.02
- distance to the lowest polymorph of the same formula (kJ/mol of formula units) = 1183

a = 5.6555 Å, b = 5.6555 Å, c = 4.2968 Å
α = 90.00°, β = 90.00°, γ = 90.00°
With the nearest neighbours (Å) after each atom.
Fractional positions:
Sr1 0.0000 0.0000 0.0000  2 N 2.15
Os1 0.5000 0.5000 0.5000  8 Se 3.55
Se1 0.5000 0.0000 0.0000  2 Sr 2.83
Se2 0.0000 0.5000 0.0000  2 Sr 2.83
N1 0.0000 0.0000 0.5000  2 Sr 2.15

---

# 8
# SrOsSeN2

Crystalline SrOsSeN2 at its relaxed geometry (PBE-GGA, Alexandria via LeMat-Bulk).

Calculated values
- SG = P4/mmm, No. 123
- calculated volume (Å³/atom) = 26.1
- formation energy (no corrections) (eV per atom) = 2.45
- distance to the lowest polymorph of the same formula (kJ/mol of formula units) = 1218

a = 4.5638 Å, b = 6.2608 Å, c = 4.5638 Å
α = 90.00°, β = 90.00°, γ = 90.00°
With the nearest neighbours (Å) after each atom.
Fractional positions:
Os1 0.5000 0.5000 0.5000  4 Se 3.23
N1 0.0000 0.0000 0.5000  2 Sr 2.28
Sr1 0.0000 0.0000 0.0000  4 N 2.28
N2 0.5000 0.0000 0.0000  2 Sr 2.28
Se1 0.0000 0.5000 0.0000  2 Sr 3.13, 4 Os 3.23

---

# 9
# SrOsSeN2

Crystalline SrOsSeN2 at its relaxed geometry (PBE-GGA, Alexandria via LeMat-Bulk).

Calculated values
- SG = P4/mmm, No. 123
- calculated volume (Å³/atom) = 17.0
- formation energy (no corrections) (eV per atom) = -0.07
- distance to the lowest polymorph of the same formula (kJ/mol of formula units) = 0

a = 3.9734 Å, b = 3.9734 Å, c = 5.3968 Å
α = 90.00°, β = 90.00°, γ = 90.00°
With the nearest neighbours (Å) after each atom.
Fractional positions:
Se1 0.0000 0.0000 0.5000  2 Os 2.70, 4 Sr 2.81
N1 0.0000 0.5000 0.0000  2 Os 1.99
Sr1 0.5000 0.5000 0.5000  4 Se 2.81
Os1 0.0000 0.0000 0.0000  4 N 1.99
N2 0.5000 0.0000 0.0000  2 Os 1.99

---

# 10
# TaOsSeN2

Crystalline TaOsSeN2 at its relaxed geometry (PBE-GGA, Alexandria via LeMat-Bulk).

Calculated values
- SG = P4/mmm, No. 123
- calculated volume (Å³/atom) = 17.0
- formation energy (no corrections) (eV per atom) = 1.05
- distance to the lowest polymorph of the same formula (kJ/mol of formula units) = 10

a = 3.9540 Å, b = 3.9540 Å, c = 5.4415 Å
α = 90.00°, β = 90.00°, γ = 90.00°
With the nearest neighbours (Å) after each atom.
Fractional positions:
Os1 0.5000 0.5000 0.5000  4 Se 2.80
Ta1 0.0000 0.0000 0.0000  4 N 1.98
Se1 0.0000 0.0000 0.5000  2 Ta 2.72, 4 Os 2.80
N1 0.5000 0.0000 0.0000  2 Ta 1.98
N2 0.0000 0.5000 0.0000  2 Ta 1.98

---

# 11
# TaOsSeN2

Crystalline TaOsSeN2 at its relaxed geometry (PBE-GGA, Alexandria via LeMat-Bulk).

Calculated values
- SG = P4/mmm, No. 123
- calculated volume (Å³/atom) = 15.6
- formation energy (no corrections) (eV per atom) = 1.03
- distance to the lowest polymorph of the same formula (kJ/mol of formula units) = 0

a = 3.8077 Å, b = 3.8077 Å, c = 5.3899 Å
α = 90.00°, β = 90.00°, γ = 90.00°
With the nearest neighbours (Å) after each atom.
Fractional positions:
Se1 0.0000 0.0000 0.5000  4 Ta 2.69, 2 Os 2.69
N1 0.0000 0.5000 0.0000  2 Os 1.90
Os1 0.0000 0.0000 0.0000  4 N 1.90
N2 0.5000 0.0000 0.0000  2 Os 1.90
Ta1 0.5000 0.5000 0.5000  4 Se 2.69

---

# 12
# TeOs2SeN

Crystalline TeOs2SeN at its relaxed geometry (PBE-GGA, Alexandria via LeMat-Bulk).

Calculated values
- SG = P4/mmm, No. 123
- calculated volume (Å³/atom) = 24.6
- formation energy (no corrections) (eV per atom) = 1.08

a = 3.8736 Å, b = 8.1881 Å, c = 3.8736 Å
α = 90.00°, β = 90.00°, γ = 90.00°
With the nearest neighbours (Å) after each atom.
Fractional positions:
Se1 0.5000 0.5000 0.5000  4 Te 2.74
N1 0.0000 0.0000 0.0000  4 Os 1.94
Os1 0.0000 0.0000 0.5000  2 N 1.94
Os2 0.5000 0.0000 0.0000  2 N 1.94
Te1 0.0000 0.5000 0.0000  4 Se 2.74

---

D(E_F) per entry: 5.95, 4.52, 4.67, 4.87, 4.19, 4.99, 8.76, 5.11, 1.66, 5.20, 4.95, 5.56 states/eV/cell